No. 1
Density functional theory data (GGA-PBE) for a geometry-optimized ReNiBr2 structure.

size of the total moment = 1.06 Bohr magnetons per cell
formation energy (no corrections) = 1.1938 eV/atom
ρ = 9.18 g cm⁻³

a b c (Å): 2.993 5.773 4.239
angles (deg): 90.00 90.00 90.00
Each line ends with the local moment (μB).
Sites, in units of the cell vectors:
Br1 0.000 0.000 0.000  0.01
Br2 0.500 0.500 0.000  0.04
Ni1 0.500 0.000 0.500  -0.05
Re1 0.000 0.500 0.500  0.92

No. 2
Density functional theory data (GGA-PBE) for a geometry-optimized KBa2NaO structure.

size of the total moment = 0.00 Bohr magnetons per cell
formation energy (no corrections) = -0.8512 eV/atom
ρ = 3.00 g cm⁻³

a b c (Å): 5.485 5.485 6.500
angles (deg): 90.00 90.00 90.00
Sites, in units of the cell vectors:
Na1 0.500 0.500 0.500
K1 0.000 0.000 0.500
Ba1 0.000 0.500 0.000
Ba2 0.500 0.000 0.000
O1 0.000 0.000 0.000

No. 3
Density functional theory data (GGA-PBE) for a geometry-optimized RbInRu2O8 structure.

size of the total moment = 3.84 Bohr magnetons per cell
formation energy (no corrections) = -1.0276 eV/atom
ρ = 3.91 g cm⁻³

a b c (Å): 5.383 5.383 8.465
angles (deg): 84.90 84.90 67.51
Each line ends with the local moment (μB).
Sites, in units of the cell vectors:
Rb1 0.000 0.000 0.500  0.00
In1 0.000 0.000 0.000  0.06
Ru1 0.616 0.616 0.209  1.01
Ru2 0.384 0.384 0.791  1.01
O1 0.745 0.241 0.810  0.13
O2 0.757 0.757 0.039  0.22
O3 0.690 0.690 0.392  0.20
O4 0.310 0.310 0.608  0.20
O5 0.243 0.243 0.961  0.22
O6 0.241 0.745 0.810  0.13
O7 0.759 0.255 0.190  0.13
O8 0.255 0.759 0.190  0.13

No. 4
Density functional theory data (GGA-PBE) for a geometry-optimized LiDyHoNi structure.

size of the total moment = 0.00 Bohr magnetons per cell
formation enthalpy at 0 K = -0.1458 eV/atom
ρ = 7.80 g cm⁻³

a b c (Å): 4.909 4.909 4.909
angles (deg): 60.00 60.00 60.00
Sites, in units of the cell vectors:
Ni1 0.250 0.250 0.250
Li1 0.750 0.750 0.750
Ho1 0.000 0.000 0.000
Dy1 0.500 0.500 0.500

No. 5
Density functional theory data (GGA-PBE) for a geometry-optimized ThPaOs structure.

size of the total moment = 0.00 Bohr magnetons per cell
formation enthalpy at 0 K = 0.0431 eV/atom
ρ = 13.41 g cm⁻³

a b c (Å): 4.854 4.854 4.854
angles (deg): 60.00 60.00 60.00
Sites, in units of the cell vectors:
Pa1 0.000 0.000 0.000
Os1 0.250 0.250 0.250
Th1 0.500 0.500 0.500

No. 6
Density functional theory data (GGA-PBE) for a geometry-optimized Np2TaNiN5 structure.

size of the total moment = 7.92 Bohr magnetons per cell
formation energy (no corrections) = -0.8289 eV/atom
ρ = 12.67 g cm⁻³

a b c (Å): 3.167 6.654 10.034
angles (deg): 90.00 90.00 103.77
Each line ends with the local moment (μB).
Sites, in units of the cell vectors:
Np1 0.864 0.728 0.803  2.41
Np2 0.111 0.222 0.681  2.63
Np3 0.136 0.272 0.303  2.41
Np4 0.889 0.778 0.181  2.63
Ta1 0.807 0.613 0.503  0.05
Ta2 0.193 0.387 0.003  0.05
Ni1 0.510 0.020 0.973  -0.46
Ni2 0.490 0.980 0.473  -0.46
N1 0.357 0.713 0.002  -0.15
N2 0.695 0.389 0.856  -0.14
N3 0.491 0.982 0.781  -0.20
N4 0.290 0.580 0.651  -0.11
N5 0.955 0.910 0.574  -0.12
N6 0.643 0.287 0.502  -0.15
N7 0.305 0.611 0.356  -0.14
N8 0.509 0.018 0.281  -0.20
N9 0.710 0.420 0.151  -0.11
N10 0.045 0.090 0.074  -0.12

No. 7
Density functional theory data (GGA-PBE) for a geometry-optimized CsTl2CrCl8 structure.

size of the total moment = 1.08 Bohr magnetons per cell
formation energy (no corrections) = -1.0388 eV/atom
ρ = 3.92 g cm⁻³

a b c (Å): 6.877 6.877 9.900
angles (deg): 69.68 69.68 60.00
Each line ends with the local moment (μB).
Sites, in units of the cell vectors:
Cs1 0.500 0.500 0.500  0.00
Tl1 0.291 0.291 0.127  -0.21
Tl2 0.709 0.709 0.873  -0.21
Cr1 0.000 0.000 0.000  2.50
Cl1 0.194 0.194 0.417  -0.18
Cl2 0.729 0.265 0.145  -0.09
Cl3 0.806 0.806 0.583  -0.18
Cl4 0.861 0.729 0.145  -0.09
Cl5 0.139 0.271 0.855  -0.09
Cl6 0.265 0.861 0.145  -0.09
Cl7 0.735 0.139 0.855  -0.09
Cl8 0.271 0.735 0.855  -0.09

No. 8
Density functional theory data (GGA-PBE) for a geometry-optimized AcLaS2O structure.

size of the total moment = 0.00 Bohr magnetons per cell
formation energy (no corrections) = -2.5829 eV/atom
ρ = 5.81 g cm⁻³

a b c (Å): 4.181 4.181 14.579
angles (deg): 90.00 90.00 90.00
Sites, in units of the cell vectors:
Ac1 0.500 0.000 0.590
Ac2 0.000 0.500 0.410
La1 0.500 0.000 0.123
La2 0.000 0.500 0.877
S1 0.000 0.500 0.698
S2 0.000 0.500 0.091
S3 0.500 0.000 0.909
S4 0.500 0.000 0.302
O1 0.000 0.000 0.500
O2 0.500 0.500 0.500

No. 9
Density functional theory data (GGA-PBE) for a geometry-optimized BaNaSr2 structure.

size of the total moment = 0.00 Bohr magnetons per cell
formation enthalpy at 0 K = 0.2119 eV/atom
ρ = 2.53 g cm⁻³

a b c (Å): 5.509 5.509 15.023
angles (deg): 79.43 79.43 90.00
Sites, in units of the cell vectors:
Sr1 0.616 0.125 0.250
Sr2 0.134 0.625 0.250
Sr3 0.375 0.384 0.750
Sr4 0.875 0.866 0.750
Ba1 0.000 0.000 0.000
Ba2 0.750 0.250 0.500
Na1 0.500 0.500 0.000
Na2 0.250 0.750 0.500

No. 10
Density functional theory data (GGA-PBE) for a geometry-optimized AcEuIn structure.

size of the total moment = 7.74 Bohr magnetons per cell
formation enthalpy at 0 K = -0.2726 eV/atom
ρ = 7.50 g cm⁻³

a b c (Å): 4.036 4.036 7.289
angles (deg): 106.07 106.07 90.00
Each line ends with the local moment (μB).
Sites, in units of the cell vectors:
Eu1 0.973 0.973 0.947  6.93
Ac1 0.266 0.266 0.532  0.11
In1 0.610 0.610 0.221  -0.01

No. 11
Density functional theory data (GGA-PBE) for a geometry-optimized ReW structure.

size of the total moment = 0.00 Bohr magnetons per cell
formation enthalpy at 0 K = 2.3393 eV/atom
ρ = 10.57 g cm⁻³

a b c (Å): 7.039 7.039 7.039
angles (deg): 90.00 90.00 90.00
Sites, in units of the cell vectors:
Re1 0.250 0.500 0.000
Re2 0.750 0.500 0.000
Re3 0.500 0.000 0.250
Re4 0.500 0.000 0.750
Re5 0.000 0.250 0.500
Re6 0.000 0.750 0.500
W1 0.250 0.000 0.500
W2 0.750 0.000 0.500
W3 0.000 0.500 0.250
W4 0.000 0.500 0.750
W5 0.500 0.250 0.000
W6 0.500 0.750 0.000

No. 12
Density functional theory data (GGA-PBE) for a geometry-optimized Zn2RuSe structure.

size of the total moment = 0.26 Bohr magnetons per cell
formation energy (no corrections) = 0.1702 eV/atom
ρ = 7.44 g cm⁻³

a b c (Å): 2.841 2.841 8.599
angles (deg): 90.00 90.00 90.00
Each line ends with the local moment (μB).
Sites, in units of the cell vectors:
Ru1 0.500 0.500 0.250  0.25
Se1 0.500 0.500 0.750  0.00
Zn1 0.000 0.000 0.054  0.00
Zn2 0.000 0.000 0.446  0.00

No. 13
Density functional theory data (GGA-PBE) for a geometry-optimized NaLiICl structure.

size of the total moment = 0.00 Bohr magnetons per cell
formation energy (no corrections) = -1.4434 eV/atom
ρ = 2.71 g cm⁻³

a b c (Å): 4.381 4.381 14.419
angles (deg): 81.26 81.26 60.00
Sites, in units of the cell vectors:
Na1 0.000 0.000 0.000
Na2 0.500 0.500 0.500
Li1 0.748 0.748 0.755
Li2 0.252 0.252 0.245
I1 0.620 0.620 0.141
I2 0.380 0.380 0.859
Cl1 0.201 0.201 0.398
Cl2 0.799 0.799 0.602

No. 14
Density functional theory data (GGA-PBE) for a geometry-optimized Tl2C2BrO6 structure.

size of the total moment = 0.00 Bohr magnetons per cell
formation energy (no corrections) = -0.9251 eV/atom
ρ = 5.53 g cm⁻³

a b c (Å): 5.889 5.671 6.409
angles (deg): 116.24 100.39 72.62
Sites, in units of the cell vectors:
Tl1 0.771 0.367 0.738
Tl2 0.229 0.633 0.262
C1 0.189 0.699 0.787
C2 0.811 0.301 0.213
Br1 0.500 0.000 0.500
O1 0.406 0.701 0.852
O2 0.942 0.347 0.090
O3 0.070 0.750 0.616
O4 0.058 0.653 0.910
O5 0.930 0.250 0.384
O6 0.594 0.299 0.148

No. 15
Density functional theory data (GGA-PBE) for a geometry-optimized CaScAs3 structure.

size of the total moment = 0.00 Bohr magnetons per cell
formation enthalpy at 0 K = 0.4443 eV/atom
ρ = 3.69 g cm⁻³

a b c (Å): 5.183 5.183 5.183
angles (deg): 90.00 90.00 90.00
Sites, in units of the cell vectors:
Sc1 0.500 0.500 0.500
As1 0.000 0.500 0.000
As2 0.000 0.000 0.500
As3 0.500 0.000 0.000
Ca1 0.000 0.000 0.000

No. 16
Density functional theory data (GGA-PBE) for a geometry-optimized CaMgRhPb structure.

size of the total moment = 0.00 Bohr magnetons per cell
formation enthalpy at 0 K = -0.2686 eV/atom
ρ = 7.38 g cm⁻³

a b c (Å): 4.921 4.921 4.921
angles (deg): 60.00 60.00 60.00
Sites, in units of the cell vectors:
Pb1 0.500 0.500 0.500
Ca1 0.250 0.250 0.250
Rh1 0.750 0.750 0.750
Mg1 0.000 0.000 0.000

No. 17
Density functional theory data (GGA-PBE) for a geometry-optimized Tl2CoOsPt structure.

size of the total moment = 2.38 Bohr magnetons per cell
formation enthalpy at 0 K = 1.3089 eV/atom
ρ = 10.59 g cm⁻³

a b c (Å): 5.274 4.810 5.274
angles (deg): 90.00 90.00 90.00
Each line ends with the local moment (μB).
Sites, in units of the cell vectors:
Co1 0.500 0.500 0.500  2.15
Tl1 0.000 0.000 0.500  -0.01
Tl2 0.500 0.000 0.000  0.01
Os1 0.000 0.000 0.000  0.06
Pt1 0.000 0.500 0.000  0.03

No. 18
Density functional theory data (GGA-PBE) for a geometry-optimized TmSc3Fe structure.

size of the total moment = 0.00 Bohr magnetons per cell
formation enthalpy at 0 K = 0.0520 eV/atom
ρ = 5.06 g cm⁻³

a b c (Å): 6.931 6.931 6.947
angles (deg): 90.20 117.62 122.12
Sites, in units of the cell vectors:
Tm1 0.563 0.783 0.282
Tm2 0.500 0.280 0.718
Sc1 0.034 0.290 0.760
Sc2 0.030 0.774 0.240
Sc3 0.533 0.790 0.759
Sc4 0.044 0.282 0.263
Sc5 0.530 0.274 0.241
Sc6 0.019 0.781 0.737
Fe1 0.532 0.031 0.000
Fe2 0.031 0.531 0.000

No. 19
Density functional theory data (GGA-PBE) for a geometry-optimized Cs2NaSeI structure.

size of the total moment = 0.00 Bohr magnetons per cell
formation energy (no corrections) = -1.1553 eV/atom
ρ = 3.08 g cm⁻³

a b c (Å): 7.029 7.029 5.403
angles (deg): 90.00 90.00 90.00
Sites, in units of the cell vectors:
Cs1 0.000 0.500 0.000
Cs2 0.500 0.000 0.000
I1 0.500 0.500 0.500
Se1 0.000 0.000 0.000
Na1 0.000 0.000 0.500

No. 20
Density functional theory data (GGA-PBE) for a geometry-optimized BrO4 structure.

size of the total moment = 2.93 Bohr magnetons per cell
formation energy (no corrections) = 1.3698 eV/atom
ρ = 3.97 g cm⁻³

a b c (Å): 3.918 3.918 3.918
angles (deg): 90.00 90.00 90.00
Each line ends with the local moment (μB).
Sites, in units of the cell vectors:
O1 0.000 0.000 0.000  1.69
O2 0.500 0.000 0.500  0.28
O3 0.000 0.500 0.500  0.28
O4 0.500 0.500 0.000  0.28
Br1 0.500 0.500 0.500  -0.06

No. 21
Density functional theory data (GGA-PBE) for a geometry-optimized YHf4Os5 structure.

size of the total moment = 0.00 Bohr magnetons per cell
formation enthalpy at 0 K = -0.5915 eV/atom
ρ = 16.42 g cm⁻³

a b c (Å): 3.272 3.272 16.571
angles (deg): 90.00 90.00 90.00
Sites, in units of the cell vectors:
Y1 0.000 0.000 0.000
Hf1 0.000 0.000 0.204
Hf2 0.000 0.000 0.401
Hf3 0.000 0.000 0.599
Hf4 0.000 0.000 0.796
Os1 0.500 0.500 0.114
Os2 0.500 0.500 0.306
Os3 0.500 0.500 0.500
Os4 0.500 0.500 0.694
Os5 0.500 0.500 0.886

No. 22
Density functional theory data (GGA-PBE) for a geometry-optimized SrAcSiSn structure.

size of the total moment = 0.00 Bohr magnetons per cell
formation energy (no corrections) = -0.3553 eV/atom
ρ = 6.16 g cm⁻³

a b c (Å): 5.604 5.604 5.604
angles (deg): 60.00 60.00 60.00
Sites, in units of the cell vectors:
Sr1 0.000 0.000 0.000
Ac1 0.500 0.500 0.500
Si1 0.750 0.750 0.750
Sn1 0.250 0.250 0.250

No. 23
Density functional theory data (GGA-PBE) for a geometry-optimized In2SnSbBr structure.

size of the total moment = 0.00 Bohr magnetons per cell
formation energy (no corrections) = 0.3899 eV/atom
ρ = 4.87 g cm⁻³

a b c (Å): 5.762 5.646 5.762
angles (deg): 90.00 90.00 90.00
Sites, in units of the cell vectors:
Sb1 0.500 0.500 0.500
Sn1 0.000 0.500 0.000
Br1 0.000 0.000 0.000
In1 0.000 0.000 0.500
In2 0.500 0.000 0.000

No. 24
Density functional theory data (GGA-PBE) for a geometry-optimized Pm3Nd4YSe8 structure.

size of the total moment = 0.00 Bohr magnetons per cell
formation energy (no corrections) = -1.8223 eV/atom
ρ = 6.85 g cm⁻³

a b c (Å): 8.393 8.416 8.392
angles (deg): 119.90 120.00 90.00
Sites, in units of the cell vectors:
Pm1 0.500 0.500 0.000
Pm2 0.500 0.500 0.500
Pm3 0.000 0.500 0.500
Nd1 0.500 0.000 0.000
Nd2 0.500 0.000 0.500
Nd3 0.000 0.000 0.000
Nd4 0.000 0.000 0.500
Y1 0.000 0.500 0.000
Se1 0.245 0.743 0.998
Se2 0.245 0.743 0.491
Se3 0.251 0.253 0.502
Se4 0.753 0.743 0.998
Se5 0.247 0.257 0.002
Se6 0.749 0.747 0.498
Se7 0.755 0.257 0.509
Se8 0.755 0.257 0.002

No. 25
Density functional theory data (GGA-PBE) for a geometry-optimized Ga2SbF structure.

size of the total moment = 0.00 Bohr magnetons per cell
formation energy (no corrections) = -0.6251 eV/atom
ρ = 6.11 g cm⁻³

a b c (Å): 4.758 4.758 4.758
angles (deg): 60.00 60.00 60.00
Sites, in units of the cell vectors:
Sb1 0.500 0.500 0.500
Ga1 0.250 0.250 0.250
Ga2 0.750 0.750 0.750
F1 0.000 0.000 0.000